## a
DFT (PBE) results for an optimized crystal structure of LaTlAg2.

Output
Fermi-level density of states: 2.61 states/eV per cell

Cell: 6.276 6.084 3.236 Å, 78.64 82.31 118.70°
Site moments in Bohr magnetons follow the coordinates.
Sites, in units of the cell vectors:
Tl  0.500  0.500  0.000  0.00
Ag  0.000  0.000  0.000  0.00
Ag  0.500  0.000  0.500  0.00
La  0.000  0.500  0.500  0.18

## b
DFT (PBE) results for an optimized crystal structure of LaTlAg2.

Output
Fermi-level density of states: 3.20 states/eV per cell

Cell: 4.838 4.839 4.388 Å, 90.00 90.00 90.00°
Sites, in units of the cell vectors:
Tl  0.000  0.500  0.500
Ag  0.000  0.000  0.000
Ag  0.500  0.500  0.000
La  0.500  0.000  0.500

## c
DFT (PBE) results for an optimized crystal structure of LaTlAg2.

Output
Fermi-level density of states: 2.73 states/eV per cell

Cell: 9.869 9.869 9.869 Å, 20.73 20.73 20.73°
Sites, in units of the cell vectors:
Tl  0.750  0.750  0.750
Ag  0.004  0.004  0.004
Ag  0.496  0.496  0.496
La  0.250  0.250  0.250

## d
DFT (PBE) results for an optimized crystal structure of LaTlAg2.

Output
Fermi-level density of states: 2.84 states/eV per cell

Cell: 5.177 5.177 5.173 Å, 60.01 60.01 59.96°
Sites, in units of the cell vectors:
Tl  0.250  0.250  0.250
Ag  0.000  0.000  0.000
Ag  0.750  0.750  0.750
La  0.500  0.500  0.500

The least stable of them is c.

## a
DFT (PBE) results for an optimized crystal structure of LaTlAg2.

Output
Fermi-level density of states: 1.53 states/eV per cell

Cell: 5.160 5.160 5.160 Å, 60.00 60.00 60.00°
Sites, in units of the cell vectors:
Tl  0.500  0.500  0.500
Ag  0.250  0.250  0.250
Ag  0.750  0.750  0.750
La  0.000  0.000  0.000

## b
DFT (PBE) results for an optimized crystal structure of LaTlAg2.

Output
Fermi-level density of states: 10.22 states/eV per cell

Cell: 4.785 4.785 10.520 Å, 76.86 76.86 90.00°
Sites, in units of the cell vectors:
Tl  0.000  0.000  0.000
Tl  0.750  0.250  0.500
Ag  0.709  0.125  0.250
Ag  0.041  0.625  0.250
Ag  0.375  0.291  0.750
Ag  0.875  0.959  0.750
La  0.500  0.500  0.000
La  0.250  0.750  0.500

The least stable of them is b.

## a
DFT (PBE) results for an optimized crystal structure of La2Tl2Ag.

Output
Fermi-level density of states: 8.31 states/eV per cell

Cell: 4.379 6.403 11.785 Å, 76.55 79.29 70.01°
Sites, in units of the cell vectors:
La  0.389  0.833  0.889
La  0.889  0.333  0.389
La  0.611  0.167  0.111
La  0.111  0.667  0.611
Tl  0.388  0.112  0.612
Tl  0.112  0.388  0.888
Tl  0.612  0.888  0.388
Tl  0.888  0.612  0.112
Ag  0.250  0.750  0.250
Ag  0.750  0.250  0.750

## b
DFT (PBE) results for an optimized crystal structure of La2Tl2Ag.

Output
Fermi-level density of states: 9.81 states/eV per cell

Cell: 4.897 6.289 10.786 Å, 88.08 76.88 67.09°
Sites, in units of the cell vectors:
La  0.684  0.292  0.339
La  0.931  0.244  0.894
La  0.316  0.708  0.661
La  0.069  0.756  0.106
Tl  0.073  0.282  0.572
Tl  0.654  0.810  0.882
Tl  0.927  0.718  0.428
Tl  0.346  0.190  0.118
Ag  0.619  0.100  0.662
Ag  0.381  0.900  0.338

## c
DFT (PBE) results for an optimized crystal structure of La2Tl2Ag.

Output
Fermi-level density of states: 9.74 states/eV per cell

Cell: 9.185 9.185 3.817 Å, 90.00 90.00 90.00°
Site moments in Bohr magnetons follow the coordinates.
Sites, in units of the cell vectors:
Tl  0.121  0.621  0.500  0.01
Tl  0.621  0.879  0.500  0.01
Tl  0.879  0.379  0.500  0.01
Tl  0.379  0.121  0.500  0.01
Ag  0.000  0.000  0.000  0.00
Ag  0.500  0.500  0.000  0.00
La  0.321  0.821  0.000  0.10
La  0.821  0.679  0.000  0.08
La  0.679  0.179  0.000  0.10
La  0.179  0.321  0.000  0.08

The least stable of them is c.